1.
Entry from the Alexandria database: a relaxed structure of Dy6ScIn (GGA-PBE).

abc: 6.5000 11.3366 6.3886
angles: 90.00 90.11 90.00
Last column: nearest neighbours and their distance in Å.
Space group C2/m (No. 12)
Inequivalent atoms, fractional coordinates:
Dy1 0.0701 0.0000 0.2488 (multiplicity 4)  1 Sc 3.22, 1 In 3.22, 6 Dy 3.31-3.38
Dy2 0.2088 0.2861 0.2487 (multiplicity 8)  1 Sc 3.20, 1 In 3.21, 6 Dy 3.33-3.38
Sc1 0.0000 0.5000 0.0000 (multiplicity 2)  2 In 3.19, 6 Dy 3.20-3.22
In1 0.0000 0.5000 0.5000 (multiplicity 2)  2 Sc 3.19, 6 Dy 3.21-3.22

* uncorrected energy: -4.574 eV/atom
* energy above the lowest structure with this stoichiometry: 126 meV/atom

2.
Entry from the Alexandria database: a relaxed structure of LaZnW2 (GGA-PBE).

abc: 3.2660 4.8337 9.7548
angles: 90.00 90.00 90.00
Last column: nearest neighbours and their distance in Å.
Space group Cmm2 (No. 35)
Inequivalent atoms, fractional coordinates:
La1 0.0000 0.0000 0.0000 (multiplicity 2)  6 La 2.92-3.27, 2 W 3.18, 2 Zn 3.25
Zn1 0.0000 0.5000 0.2878 (multiplicity 2)  2 W 2.72, 4 Zn 2.92
W1 0.0000 0.0000 0.5113 (multiplicity 2)  6 W 2.61-2.92, 2 Zn 2.72
W2 0.0000 0.5000 0.7197 (multiplicity 2)  6 W 2.61-2.92

* uncorrected energy: -7.622 eV/atom

Computed ΔH_f (0 K), in the same sequence as the records: 0.011 0.405 eV per atom.